[1]
Here is DyZrCd14 after structural relaxation from Alexandria via LeMat-Bulk. Energies are from PBE.

Results
Calculated volume: 22.469 A^3/atom
Energy of formation: -0.0788 eV per atom
Density of states at the Fermi level: 8.3 states/eV/f.u.
Space-group type: P4/mmm

Cell lengths 6.5154, 6.5154, 8.4690 Å; angles 90.00, 90.00, 90.00 degrees
Closest atoms and distances in Å follow each position.
Positions (direct):
Dy 0.8750 0.8750 0.5000  12 Cd 3.18-3.26
Zr 0.3750 0.3750 0.5000  12 Cd 3.11-3.26
Cd 0.8750 0.8750 0.0000  12 Cd 3.15-3.26
Cd 0.3750 0.3750 0.0000  12 Cd 3.08-3.26
Cd 0.8750 0.3750 0.5000  8 Cd 3.15, 2 Dy 3.26, 2 Zr 3.26
Cd 0.8750 0.3750 0.0000  12 Cd 3.11-3.26
Cd 0.3750 0.8750 0.5000  8 Cd 3.15, 2 Dy 3.26, 2 Zr 3.26
Cd 0.3750 0.8750 0.0000  12 Cd 3.11-3.26
Cd 0.6200 0.1300 0.2470  10 Cd 3.08-3.32, 1 Zr 3.11, 1 Dy 3.18
Cd 0.6200 0.1300 0.7530  10 Cd 3.08-3.32, 1 Zr 3.11, 1 Dy 3.18
Cd 0.1300 0.6200 0.2470  10 Cd 3.08-3.32, 1 Zr 3.11, 1 Dy 3.18
Cd 0.1300 0.6200 0.7530  10 Cd 3.08-3.32, 1 Zr 3.11, 1 Dy 3.18
Cd 0.6200 0.6200 0.2469  10 Cd 3.08-3.32, 1 Zr 3.11, 1 Dy 3.18
Cd 0.6200 0.6200 0.7531  10 Cd 3.08-3.32, 1 Zr 3.11, 1 Dy 3.18
Cd 0.1300 0.1300 0.2469  10 Cd 3.08-3.32, 1 Zr 3.11, 1 Dy 3.18
Cd 0.1300 0.1300 0.7531  10 Cd 3.08-3.32, 1 Zr 3.11, 1 Dy 3.18

***

[2]
Here is KPdPt after structural relaxation from Alexandria via LeMat-Bulk. Energies are from PBE.

Results
Calculated volume: 20.290 A^3/atom
Energy of formation: -0.1203 eV per atom
Density of states at the Fermi level: 1.8 states/eV/f.u.
Space-group type: Imma

Cell lengths 5.5639, 5.5639, 5.5639 Å; angles 90.01, 118.90, 121.09 degrees
Closest atoms and distances in Å follow each position.
Positions (direct):
K 0.2500 0.1262 0.8762  6 Pd 3.24-3.26, 6 Pt 3.26-3.29, 4 K 3.36-3.46
K 0.7500 0.8738 0.1238  6 Pd 3.24-3.26, 6 Pt 3.26-3.29, 4 K 3.36-3.46
Pd 0.5000 0.5000 0.5000  4 Pt 2.78, 2 Pd 2.83
Pd 0.0000 0.5000 0.0000  4 Pt 2.78, 2 Pd 2.83
Pt 0.0000 0.5000 0.5000  2 Pt 2.74, 4 Pd 2.78
Pt 0.5000 0.0000 0.5000  2 Pt 2.74, 4 Pd 2.78

***

[3]
Here is Mg2NiHgC after structural relaxation from Alexandria via LeMat-Bulk. Energies are from PBE.

Results
Calculated volume: 15.454 A^3/atom
Energy of formation: 0.0136 eV per atom
Density of states at the Fermi level: 1.5 states/eV/f.u.
Space-group type: P4/mmm

Cell lengths 4.5633, 4.5633, 3.7105 Å; angles 90.00, 90.00, 90.00 degrees
Closest atoms and distances in Å follow each position.
Positions (direct):
C 0.0000 0.0000 0.0000  2 Ni 1.86
Ni 0.0000 0.0000 0.5000  2 C 1.86
Mg 0.0000 0.5000 0.0000  2 C 2.28
Mg 0.5000 0.0000 0.0000  2 C 2.28
Hg 0.5000 0.5000 0.5000  8 Mg 2.94, 4 Ni 3.23

***

[4]
Here is Fe2ReTe after structural relaxation from Alexandria via LeMat-Bulk. Energies are from PBE.

Results
Calculated volume: 14.750 A^3/atom
Formation energy from raw total energies: 510 meV per atom
Density of states at the Fermi level: 4.3 states/eV/f.u.
Space-group type: Cm

Cell lengths 4.5952, 4.5952, 4.5722 Å; angles 80.36, 80.36, 38.38 degrees
Closest atoms and distances in Å follow each position.
Positions (direct):
Fe 0.0106 0.0106 0.9675  2 Re 2.49, 1 Te 2.58, 3 Fe 2.60-2.61
Fe 0.7507 0.7507 0.7582  3 Fe 2.60-2.61, 3 Re 2.60-2.63, 4 Te 2.63-2.85
Re 0.4885 0.4885 0.5440  5 Fe 2.49-2.63, 1 Te 2.72
Te 0.2502 0.2502 0.2303  7 Fe 2.58-2.85, 3 Re 2.72-2.89

***

[5]
Here is PrGdInRh after structural relaxation from Alexandria via LeMat-Bulk. Energies are from PBE.

Results
Calculated volume: 25.242 A^3/atom
Energy of formation: -0.4621 eV per atom
Density of states at the Fermi level: 3.7 states/eV/f.u.
Space-group type: F-43m

Cell lengths 5.2268, 5.2268, 5.2268 Å; angles 60.00, 60.00, 60.00 degrees
Closest atoms and distances in Å follow each position.
Positions (direct):
Pr 0.2500 0.2500 0.2500  4 In 3.20, 4 Rh 3.20
Gd 0.7500 0.7500 0.7500  4 Rh 3.20, 4 In 3.20
Rh 0.5000 0.5000 0.5000  4 Gd 3.20, 4 Pr 3.20
In 0.0000 0.0000 0.0000  4 Pr 3.20, 4 Gd 3.20

***

[6]
Here is Tm8BeSb2 after structural relaxation from Alexandria via LeMat-Bulk. Energies are from PBE.

Results
Calculated volume: 26.679 A^3/atom
Formation energy from raw total energies: -291 meV per atom
Density of states at the Fermi level: 9.3 states/eV/f.u.
Space-group type: C2/m

Cell lengths 4.8313, 6.6933, 9.6239 Å; angles 102.63, 104.54, 90.00 degrees
Closest atoms and distances in Å follow each position.
Positions (direct):
Tm 0.4093 0.5228 0.8186  1 Be 3.26, 2 Sb 3.32, 10 Tm 3.34-3.64
Tm 0.6484 0.0167 0.2968  1 Be 2.74, 2 Sb 3.06
Tm 0.7849 0.6675 0.5697  3 Sb 3.13-3.26, 4 Tm 3.26-3.35
Tm 0.9852 0.2195 0.9704  2 Be 2.87, 1 Tm 3.11, 1 Sb 3.12
Tm 0.2151 0.3325 0.4303  3 Sb 3.13-3.26, 4 Tm 3.26-3.35
Tm 0.3516 0.9833 0.7032  1 Be 2.74, 2 Sb 3.06
Tm 0.5907 0.4772 0.1814  1 Be 3.26, 2 Sb 3.32, 10 Tm 3.34-3.64
Tm 0.0148 0.7805 0.0296  2 Be 2.87, 1 Tm 3.11, 1 Sb 3.12
Be 0.5000 0.0000 0.0000  6 Tm 2.74-2.87
Sb 0.8189 0.2302 0.6378  9 Tm 3.06-3.32
Sb 0.1811 0.7698 0.3622  9 Tm 3.06-3.32

***

[7]
Here is BeIr2Rh after structural relaxation from Alexandria via LeMat-Bulk. Energies are from PBE.

Results
Calculated volume: 13.377 A^3/atom
Energy of formation: 0.0156 eV per atom
Density of states at the Fermi level: 5.3 states/eV/f.u.
Space-group type: Cmmm

Cell lengths 2.6983, 2.6983, 8.4091 Å; angles 90.00, 90.00, 119.08 degrees
Closest atoms and distances in Å follow each position.
Positions (direct):
Be 0.5000 0.5000 0.7500  4 Ir 2.31
Ir 0.0000 0.0000 0.9706  2 Be 2.31
Ir 0.0000 0.0000 0.5294  2 Be 2.31
Rh 0.5000 0.5000 0.2500  6 Rh 2.70-2.74, 4 Ir 2.72

***

[8]
Here is K3Cd2BiO6 after structural relaxation from Alexandria via LeMat-Bulk. Energies are from PBE.

Results
Calculated volume: 16.010 A^3/atom
Formation energy from raw total energies: -1253 meV per atom
Space-group type: C2/m

Cell lengths 5.9951, 5.9951, 6.4873 Å; angles 98.82, 98.82, 120.03 degrees
Closest atoms and distances in Å follow each position.
Positions (direct):
K 0.1740 0.8260 0.5000  6 O 2.71-2.83
K 0.8260 0.1740 0.5000  6 O 2.71-2.83
K 0.5000 0.5000 0.5000  6 O 2.70-2.87
Cd 0.3339 0.6661 0.0000  6 O 2.40-2.41
Cd 0.6661 0.3339 0.0000  6 O 2.40-2.41
Bi 0.0000 0.0000 0.0000  6 O 2.19
O 0.9349 0.6290 0.8070  1 Bi 2.19, 2 Cd 2.40-2.41
O 0.7608 0.7608 0.1956  1 Bi 2.19, 2 Cd 2.41
O 0.0651 0.3710 0.1930  1 Bi 2.19, 2 Cd 2.40-2.41
O 0.6290 0.9349 0.8070  1 Bi 2.19, 2 Cd 2.40-2.41
O 0.2392 0.2392 0.8044  1 Bi 2.19, 2 Cd 2.41
O 0.3710 0.0651 0.1930  1 Bi 2.19, 2 Cd 2.40-2.41

***

[9]
Here is Cs2AlAgAs2 after structural relaxation from Alexandria via LeMat-Bulk. Energies are from PBE.

Results
Calculated volume: 30.997 A^3/atom
Energy of formation: -0.4333 eV per atom
Space-group type: Ibam

Cell lengths 6.4925, 6.3776, 10.0700 Å; angles 108.46, 108.81, 90.00 degrees
Closest atoms and distances in Å follow each position.
Positions (direct):
Cs 0.3883 0.1676 0.3351  4 As 3.55-3.65, 2 Ag 3.70, 2 Al 3.86
Cs 0.6117 0.8324 0.6649  4 As 3.55-3.65, 2 Ag 3.70, 2 Al 3.86
Cs 0.0532 0.3324 0.6649  4 As 3.55-3.65, 2 Ag 3.70, 2 Al 3.86
Cs 0.9468 0.6676 0.3351  4 As 3.55-3.65, 2 Ag 3.70, 2 Al 3.86
Al 0.5000 0.7500 0.0000  4 As 2.56
Al 0.5000 0.2500 0.0000  4 As 2.56
Ag 0.0000 0.7500 0.0000  4 As 2.86, 2 Ag 3.19
Ag 0.0000 0.2500 0.0000  4 As 2.86, 2 Ag 3.19
As 0.7927 0.0810 0.1620  2 Al 2.56, 2 Ag 2.86
As 0.3694 0.5810 0.1620  2 Al 2.56, 2 Ag 2.86
As 0.6306 0.4190 0.8380  2 Al 2.56, 2 Ag 2.86
As 0.2073 0.9190 0.8380  2 Al 2.56, 2 Ag 2.86

***

[10]
Here is Cs12Rb3Br5 after structural relaxation from Alexandria via LeMat-Bulk. Energies are from PBE.

Results
Calculated volume: 89.082 A^3/atom
Formation energy from raw total energies: -793 meV per atom
Density of states at the Fermi level: 13.0 states/eV/f.u.
Space-group type: Ia-3d

Cell lengths 20.9975, 20.9975, 20.9975 Å; angles 109.47, 109.47, 109.47 degrees
Closest atoms and distances in Å follow each position.
Positions (direct):
Rb 0.7500 0.3750 0.1250  8 Cs 4.91-5.07
Rb 0.8750 0.7500 0.1250  8 Cs 4.91-5.07
Rb 0.3750 0.7500 0.6250  8 Cs 4.91-5.07
Rb 0.2500 0.1250 0.3750  8 Cs 4.91-5.07
Rb 0.8750 0.1250 0.2500  8 Cs 4.91-5.07
Rb 0.3750 0.6250 0.2500  8 Cs 4.91-5.07
Rb 0.6250 0.3750 0.7500  8 Cs 4.91-5.07
Rb 0.1250 0.8750 0.7500  8 Cs 4.91-5.07
Rb 0.7500 0.8750 0.6250  8 Cs 4.91-5.07
Rb 0.6250 0.2500 0.3750  8 Cs 4.91-5.07
Rb 0.1250 0.2500 0.8750  8 Cs 4.91-5.07
Rb 0.2500 0.6250 0.8750  8 Cs 4.91-5.07
Br 0.1250 0.3750 0.2500  4 Cs 3.50
Br 0.0000 0.5000 0.0000  6 Cs 3.75
Br 0.0000 0.0000 0.0000  6 Cs 3.75
Br 0.3750 0.2500 0.1250  4 Cs 3.50
Br 0.5000 0.0000 0.5000  6 Cs 3.75
Br 0.5000 0.5000 0.0000  6 Cs 3.75
Br 0.1250 0.7500 0.3750  4 Cs 3.50
Br 0.7500 0.1250 0.8750  4 Cs 3.50
Br 0.7500 0.6250 0.3750  4 Cs 3.50
Br 0.3750 0.1250 0.7500  4 Cs 3.50
Br 0.6250 0.8750 0.2500  4 Cs 3.50
Br 0.5000 0.5000 0.5000  6 Cs 3.75
Br 0.5000 0.0000 0.0000  6 Cs 3.75
Br 0.0000 0.0000 0.5000  6 Cs 3.75
Br 0.2500 0.3750 0.6250  4 Cs 3.50
Br 0.2500 0.8750 0.1250  4 Cs 3.50
Br 0.0000 0.5000 0.5000  6 Cs 3.75
Br 0.8750 0.2500 0.6250  4 Cs 3.50
Br 0.6250 0.7500 0.8750  4 Cs 3.50
Br 0.8750 0.6250 0.7500  4 Cs 3.50
Cs 0.6877 0.1017 0.0049  2 Br 3.50-3.75
Cs 0.3172 0.5049 0.4033  2 Br 3.50-3.75
Cs 0.9951 0.3983 0.3123  2 Br 3.50-3.75
Cs 0.5049 0.1877 0.1017  2 Br 3.50-3.75
Cs 0.5860 0.6877 0.6828  2 Br 3.50-3.75
Cs 0.9951 0.5967 0.1828  2 Br 3.50-3.75
Cs 0.3172 0.8123 0.4140  2 Br 3.50-3.75
Cs 0.0967 0.9140 0.1017  2 Br 3.50-3.75
Cs 0.5967 0.9951 0.6828  2 Br 3.50-3.75
Cs 0.6877 0.5860 0.1828  2 Br 3.50-3.75
Cs 0.8123 0.4951 0.3983  2 Br 3.50-3.75
Cs 0.8172 0.9033 0.0049  2 Br 3.50-3.75
Cs 0.1017 0.6877 0.5049  2 Br 3.50-3.75
Cs 0.3983 0.4033 0.0860  2 Br 3.50-3.75
Cs 0.0860 0.9033 0.3983  2 Br 3.50-3.75
Cs 0.4140 0.1017 0.5967  2 Br 3.50-3.75
Cs 0.0860 0.1828 0.1877  2 Br 3.50-3.75
Cs 0.4951 0.6828 0.0967  2 Br 3.50-3.75
Cs 0.8172 0.9140 0.3123  2 Br 3.50-3.75
Cs 0.1017 0.4140 0.0967  2 Br 3.50-3.75
Cs 0.3983 0.9951 0.8123  2 Br 3.50-3.75
Cs 0.5967 0.6017 0.4140  2 Br 3.50-3.75
Cs 0.9033 0.8172 0.5049  2 Br 3.50-3.75
Cs 0.8123 0.3172 0.9140  2 Br 3.50-3.75
Cs 0.4033 0.3983 0.5860  2 Br 3.50-3.75
Cs 0.0967 0.1828 0.4951  2 Br 3.50-3.75
Cs 0.1877 0.6828 0.0860  2 Br 3.50-3.75
Cs 0.1828 0.0860 0.6877  2 Br 3.50-3.75
Cs 0.6017 0.0049 0.1877  2 Br 3.50-3.75
Cs 0.8983 0.5860 0.9033  2 Br 3.50-3.75
Cs 0.5049 0.3172 0.9033  2 Br 3.50-3.75
Cs 0.5860 0.8983 0.4033  2 Br 3.50-3.75
Cs 0.9140 0.8172 0.8123  2 Br 3.50-3.75
Cs 0.9140 0.0967 0.6017  2 Br 3.50-3.75
Cs 0.8983 0.3123 0.4951  2 Br 3.50-3.75
Cs 0.1828 0.0967 0.9951  2 Br 3.50-3.75
Cs 0.6017 0.5967 0.9140  2 Br 3.50-3.75
Cs 0.4033 0.0049 0.3172  2 Br 3.50-3.75
Cs 0.3123 0.4140 0.8172  2 Br 3.50-3.75
Cs 0.1877 0.5049 0.6017  2 Br 3.50-3.75
Cs 0.9033 0.0860 0.8983  2 Br 3.50-3.75
Cs 0.6828 0.1877 0.5860  2 Br 3.50-3.75
Cs 0.4951 0.8123 0.8983  2 Br 3.50-3.75
Cs 0.0049 0.4033 0.8172  2 Br 3.50-3.75
Cs 0.4140 0.3123 0.3172  2 Br 3.50-3.75
Cs 0.0049 0.6017 0.6877  2 Br 3.50-3.75
Cs 0.6828 0.4951 0.5967  2 Br 3.50-3.75
Cs 0.3123 0.8983 0.9951  2 Br 3.50-3.75

***

[11]
Here is Sc3Ga2Ag after structural relaxation from Alexandria via LeMat-Bulk. Energies are from PBE.

Results
Calculated volume: 19.449 A^3/atom
Energy of formation: -0.5063 eV per atom
Density of states at the Fermi level: 4.5 states/eV/f.u.
Space-group type: P-3m1

Cell lengths 4.7889, 4.7889, 11.7513 Å; angles 90.00, 90.00, 120.00 degrees
Closest atoms and distances in Å follow each position.
Positions (direct):
Sc 0.3333 0.6667 0.4183  4 Ga 2.87-2.93, 4 Ag 2.97-3.01
Sc 0.6667 0.3333 0.0786  1 Ag 2.90, 7 Ga 2.92-2.98
Sc 0.0000 0.0000 0.7545  5 Ga 2.89-2.99, 3 Ag 2.92
Sc 0.0000 0.0000 0.2455  5 Ga 2.89-2.99, 3 Ag 2.92
Sc 0.3333 0.6667 0.9214  1 Ag 2.90, 7 Ga 2.92-2.98
Sc 0.6667 0.3333 0.5817  4 Ga 2.87-2.93, 4 Ag 2.97-3.01
Ga 0.0000 0.0000 0.5000  8 Sc 2.93-2.99
Ga 0.3333 0.6667 0.1743  8 Sc 2.87-2.98
Ga 0.6667 0.3333 0.8257  8 Sc 2.87-2.98
Ga 0.0000 0.0000 0.0000  8 Sc 2.89-2.92
Ag 0.3333 0.6667 0.6743  8 Sc 2.90-3.01
Ag 0.6667 0.3333 0.3257  8 Sc 2.90-3.01

***

Copy entry 1 word for word.
Here is DyZrCd14 after structural relaxation from Alexandria via LeMat-Bulk. Energies are from PBE.

Results
Calculated volume: 22.469 A^3/atom
Energy of formation: -0.0788 eV per atom
Density of states at the Fermi level: 8.3 states/eV/f.u.
Space-group type: P4/mmm

Cell lengths 6.5154, 6.5154, 8.4690 Å; angles 90.00, 90.00, 90.00 degrees
Closest atoms and distances in Å follow each position.
Positions (direct):
Dy 0.8750 0.8750 0.5000  12 Cd 3.18-3.26
Zr 0.3750 0.3750 0.5000  12 Cd 3.11-3.26
Cd 0.8750 0.8750 0.0000  12 Cd 3.15-3.26
Cd 0.3750 0.3750 0.0000  12 Cd 3.08-3.26
Cd 0.8750 0.3750 0.5000  8 Cd 3.15, 2 Dy 3.26, 2 Zr 3.26
Cd 0.8750 0.3750 0.0000  12 Cd 3.11-3.26
Cd 0.3750 0.8750 0.5000  8 Cd 3.15, 2 Dy 3.26, 2 Zr 3.26
Cd 0.3750 0.8750 0.0000  12 Cd 3.11-3.26
Cd 0.6200 0.1300 0.2470  10 Cd 3.08-3.32, 1 Zr 3.11, 1 Dy 3.18
Cd 0.6200 0.1300 0.7530  10 Cd 3.08-3.32, 1 Zr 3.11, 1 Dy 3.18
Cd 0.1300 0.6200 0.2470  10 Cd 3.08-3.32, 1 Zr 3.11, 1 Dy 3.18
Cd 0.1300 0.6200 0.7530  10 Cd 3.08-3.32, 1 Zr 3.11, 1 Dy 3.18
Cd 0.6200 0.6200 0.2469  10 Cd 3.08-3.32, 1 Zr 3.11, 1 Dy 3.18
Cd 0.6200 0.6200 0.7531  10 Cd 3.08-3.32, 1 Zr 3.11, 1 Dy 3.18
Cd 0.1300 0.1300 0.2469  10 Cd 3.08-3.32, 1 Zr 3.11, 1 Dy 3.18
Cd 0.1300 0.1300 0.7531  10 Cd 3.08-3.32, 1 Zr 3.11, 1 Dy 3.18

***

Among the records above, which one has the lowest calculated volume? BeIr2Rh

***

Which value of calculated volume does entry 1 give? 22.469 A^3/atom